(1)
DFT (PBE with a Hubbard U) results for a relaxed structure of ZrFeP2O.

Properties
Its space group is No. 123. Its total energy is -6.02 eV per atom. The offset from the most stable computed form comes out at 204 meV/atom. The density is 3547 kg/m³. Its density of states at the Fermi level is 5.8 states/eV per cell.

Cell lengths 5.155, 5.155, 3.964 Å; angles 90.00, 90.00, 90.00 degrees
Fractional coordinates of all 5 atoms:
Zr: 0.000 0.000 0.000
Fe: 0.500 0.500 0.500
P: 0.000 0.500 0.000
P: 0.500 0.000 0.000
O: 0.000 0.000 0.500

(2)
DFT (PBE with a Hubbard U) results for a relaxed structure of Pa2Fe2O7.

Properties
Its space group is No. 12. Its total energy is -8.51 eV per atom. The density is 6440 kg/m³.

Cell lengths 5.863, 5.863, 5.532 Å; angles 97.42, 97.42, 107.64 degrees
Fractional coordinates of all 11 atoms:
Pa: 0.190 0.810 0.000
Pa: 0.810 0.190 0.000
Fe: 0.261 0.261 0.595
Fe: 0.739 0.739 0.405
O: 0.075 0.075 0.234
O: 0.076 0.433 0.809
O: 0.433 0.076 0.809
O: 0.500 0.500 0.500
O: 0.567 0.924 0.191
O: 0.924 0.567 0.191
O: 0.925 0.925 0.766

(3)
DFT (PBE with a Hubbard U) results for a relaxed structure of PaFe3O8.

Properties
Its space group is No. 8. Its total energy is -7.23 eV per atom. The density is 6060 kg/m³. Its density of states at the Fermi level is 1.2 states/eV per cell.

Cell lengths 6.233, 6.233, 6.259 Å; angles 93.35, 93.35, 36.48 degrees
Fractional coordinates of all 12 atoms:
Pa: 0.000 0.000 0.000
Fe: 0.532 0.532 0.475
Fe: 0.715 0.715 0.862
Fe: 0.840 0.840 0.438
O: 0.004 0.004 0.421
O: 0.174 0.174 0.924
O: 0.370 0.370 0.446
O: 0.533 0.533 0.788
O: 0.546 0.546 0.169
O: 0.688 0.688 0.535
O: 0.828 0.828 0.133
O: 0.865 0.865 0.746

(4)
DFT (PBE with a Hubbard U) results for a relaxed structure of Pa3Fe5O12.

Properties
Its space group is No. 230. Its total energy is -8.04 eV per atom. The density is 7750 kg/m³. Its density of states at the Fermi level is 22.6 states/eV per cell.

Cell lengths 10.903, 10.903, 10.903 Å; angles 109.47, 109.47, 109.47 degrees
Fractional coordinates of all 80 atoms:
Pa: 0.125 0.250 0.375
Pa: 0.125 0.375 0.750
Pa: 0.250 0.375 0.125
Pa: 0.250 0.875 0.625
Pa: 0.375 0.125 0.250
Pa: 0.375 0.750 0.125
Pa: 0.625 0.250 0.875
Pa: 0.625 0.875 0.750
Pa: 0.750 0.125 0.375
Pa: 0.750 0.625 0.875
Pa: 0.875 0.625 0.250
Pa: 0.875 0.750 0.625
Fe: 0.000 0.000 0.000
Fe: 0.000 0.000 0.500
Fe: 0.000 0.500 0.000
Fe: 0.000 0.500 0.500
Fe: 0.125 0.750 0.875
Fe: 0.125 0.875 0.250
Fe: 0.250 0.125 0.875
Fe: 0.250 0.625 0.375
Fe: 0.375 0.250 0.625
Fe: 0.375 0.625 0.750
Fe: 0.500 0.000 0.000
Fe: 0.500 0.000 0.500
Fe: 0.500 0.500 0.000
Fe: 0.500 0.500 0.500
Fe: 0.625 0.375 0.250
Fe: 0.625 0.750 0.375
Fe: 0.750 0.375 0.625
Fe: 0.750 0.875 0.125
Fe: 0.875 0.125 0.750
Fe: 0.875 0.250 0.125
O: 0.045 0.219 0.130
O: 0.045 0.327 0.915
O: 0.085 0.630 0.412
O: 0.085 0.955 0.673
O: 0.088 0.719 0.673
O: 0.088 0.870 0.415
O: 0.130 0.045 0.219
O: 0.130 0.585 0.912
O: 0.173 0.219 0.588
O: 0.173 0.455 0.585
O: 0.219 0.130 0.045
O: 0.219 0.588 0.173
O: 0.281 0.327 0.912
O: 0.281 0.455 0.370
O: 0.327 0.912 0.281
O: 0.327 0.915 0.045
O: 0.370 0.281 0.455
O: 0.370 0.588 0.915
O: 0.412 0.085 0.630
O: 0.412 0.827 0.781
O: 0.415 0.088 0.870
O: 0.415 0.827 0.545
O: 0.455 0.370 0.281
O: 0.455 0.585 0.173
O: 0.545 0.415 0.827
O: 0.545 0.630 0.719
O: 0.585 0.173 0.455
O: 0.585 0.912 0.130
O: 0.588 0.173 0.219
O: 0.588 0.915 0.370
O: 0.630 0.412 0.085
O: 0.630 0.719 0.545
O: 0.673 0.085 0.955
O: 0.673 0.088 0.719
O: 0.719 0.545 0.630
O: 0.719 0.673 0.088
O: 0.781 0.412 0.827
O: 0.781 0.870 0.955
O: 0.827 0.545 0.415
O: 0.827 0.781 0.412
O: 0.870 0.415 0.088
O: 0.870 0.955 0.781
O: 0.912 0.130 0.585
O: 0.912 0.281 0.327
O: 0.915 0.045 0.327
O: 0.915 0.370 0.588
O: 0.955 0.673 0.085
O: 0.955 0.781 0.870

(5)
DFT (PBE with a Hubbard U) results for a relaxed structure of Pa4FeO10.

Properties
Its space group is No. 87. Its total energy is -9.52 eV per atom. The density is 9631 kg/m³. Its density of states at the Fermi level is 9.4 states/eV per cell.

Cell lengths 6.610, 6.610, 6.610 Å; angles 99.60, 99.60, 131.80 degrees
Fractional coordinates of all 15 atoms:
Pa: 0.102 0.704 0.806
Pa: 0.296 0.102 0.398
Pa: 0.704 0.898 0.602
Pa: 0.898 0.296 0.194
Fe: 0.500 0.500 0.000
O: 0.043 0.347 0.897
O: 0.145 0.043 0.696
O: 0.250 0.750 0.500
O: 0.347 0.449 0.304
O: 0.449 0.145 0.103
O: 0.551 0.855 0.897
O: 0.653 0.551 0.696
O: 0.750 0.250 0.500
O: 0.855 0.957 0.304
O: 0.957 0.653 0.103

(6)
DFT (PBE with a Hubbard U) results for a relaxed structure of Pa2Fe4O9.

Properties
Its space group is No. 2. Its total energy is -7.88 eV per atom. The density is 7194 kg/m³. Its density of states at the Fermi level is 0.0 states/eV per cell.

Cell lengths 5.341, 5.424, 15.114 Å; angles 88.79, 89.44, 61.03 degrees
Fractional coordinates of all 30 atoms:
Pa: 0.009 0.489 0.143
Pa: 0.013 0.494 0.361
Pa: 0.987 0.506 0.639
Pa: 0.991 0.511 0.857
Fe: 0.310 0.863 0.685
Fe: 0.334 0.832 0.985
Fe: 0.335 0.834 0.489
Fe: 0.341 0.824 0.179
Fe: 0.659 0.176 0.821
Fe: 0.665 0.166 0.511
Fe: 0.666 0.168 0.015
Fe: 0.690 0.137 0.315
O: 0.006 0.145 0.583
O: 0.009 0.189 0.251
O: 0.035 0.838 0.083
O: 0.291 0.222 0.751
O: 0.302 0.498 0.251
O: 0.321 0.536 0.577
O: 0.353 0.124 0.086
O: 0.368 0.473 0.916
O: 0.391 0.143 0.416
O: 0.609 0.857 0.584
O: 0.632 0.527 0.084
O: 0.647 0.876 0.914
O: 0.679 0.464 0.423
O: 0.698 0.502 0.749
O: 0.709 0.778 0.249
O: 0.965 0.162 0.917
O: 0.991 0.811 0.749
O: 0.994 0.855 0.417